Record 1
Entry from Alexandria: a relaxed SrH2Au crystal (GGA-PBEsol).

As for the density of states at the Fermi level: 0.32 states/eV/atom.

It has space group I-42d (No. 122), with a = 4.612 Å, b = 4.612 Å, c = 11.390 Å, α = 90.00°, β = 90.00° and γ = 90.00°. The asymmetric unit holds Sr at (0.000, 0.000, 0.000), H at (0.069, 0.250, 0.625) and Au at (0.000, 0.000, 0.500).

Record 2
Entry from Alexandria: a relaxed BePt5 crystal (GGA-PBEsol).

As for the density of states at the Fermi level: 1.12 states/eV/atom. The formation energy comes out at -0.2179 eV/atom.

It has space group C2/m (No. 12), with a = 9.419 Å, b = 2.731 Å, c = 6.985 Å, α = 90.00°, β = 111.81° and γ = 90.00°. The asymmetric unit holds Be at (0.000, 0.000, 0.000), Pt at (0.000, 0.000, 0.500), Pt at (0.137, 0.500, 0.856) and Pt at (0.171, 0.500, 0.306).

Going through the records in order, we get excess energy over the best structure of this formula in the dataset values of 0; 58 meV/atom.